# 1
# Cr3AuF

A geometry-optimized Cr3AuF structure (PBE+U, Alexandria via LeMat-Bulk).

Cell: 4.454 4.454 4.454 Å, 90.00 90.00 90.00°
Sites, in units of the cell vectors:
Cr 0.000 0.000 0.500
Cr 0.000 0.500 0.000
Cr 0.500 0.000 0.000
Au 0.500 0.500 0.500
F 0.000 0.000 0.000

Properties
- Density: 6.99 g cm⁻³
- Energy above the lowest structure with this stoichiometry: 0.00 eV per formula unit
- Crystal system: cubic



# 2
# CrAuF2

A geometry-optimized CrAuF2 structure (PBE+U, Alexandria via LeMat-Bulk).

Cell: 6.624 6.624 6.624 Å, 130.28 130.28 72.96°
Sites, in units of the cell vectors:
Cr 0.000 0.000 0.000
Cr 0.750 0.250 0.500
Au 0.250 0.750 0.500
Au 0.500 0.500 0.000
F 0.375 0.227 0.352
F 0.773 0.125 0.148
F 0.875 0.023 0.648
F 0.977 0.625 0.852

Properties
- Density: 5.77 g cm⁻³
- Energy above the lowest structure with this stoichiometry: 1.33 eV per formula unit
- Crystal system: tetragonal



# 3
# CrAu2F

A geometry-optimized CrAu2F structure (PBE+U, Alexandria via LeMat-Bulk).

Cell: 5.915 5.915 5.915 Å, 100.73 100.73 128.89°
Sites, in units of the cell vectors:
Cr 0.000 0.000 0.000
Cr 0.750 0.250 0.500
Au 0.146 0.625 0.021
Au 0.375 0.396 0.521
Au 0.604 0.125 0.979
Au 0.875 0.854 0.479
F 0.250 0.750 0.500
F 0.500 0.500 0.000

Properties
- Density: 10.63 g cm⁻³
- Energy above the lowest structure with this stoichiometry: 0.00 eV per formula unit
- Crystal system: tetragonal